1.
The following is a PBE-GGA calculation of a relaxed Ce2Pm4Pb3N2 crystal, from the Alexandria database.

Computed properties:
* V: 309.62 Å³/f.u.
* total DFT energy (no corrections): -6.161 eV per atom

a b c (Å): 13.4246 13.4246 13.4246
angles (deg): 159.03 159.03 29.82
With the nearest neighbours (Å) after each atom.
Fractional positions:
Ce: 0.1910 0.1910 0.0000  1 N 2.19
Ce: 0.8090 0.8090 0.0000  1 N 2.19
Pm: 0.0839 0.5839 0.5000  2 N 2.51
Pm: 0.4161 0.9161 0.5000  2 N 2.51
Pm: 0.5839 0.0839 0.5000  2 N 2.51
Pm: 0.9161 0.4161 0.5000  2 N 2.51
Pb: 0.3215 0.3215 0.0000  5 Ce 3.39-3.47, 4 Pm 3.46
Pb: 0.5000 0.5000 0.0000  8 Pm 3.27
Pb: 0.6785 0.6785 0.0000  5 Ce 3.39-3.47, 4 Pm 3.46
N: 0.1065 0.1065 0.0000  1 Ce 2.19
N: 0.8935 0.8935 0.0000  1 Ce 2.19


2.
The following is a PBE-GGA calculation of a relaxed RbTiRuPb2 crystal, from the Alexandria database.

Computed properties:
* V: 145.44 Å³/f.u.
* formation energy: 456 meV/atom

a b c (Å): 5.6327 5.6327 4.5842
angles (deg): 90.00 90.00 90.00
With the nearest neighbours (Å) after each atom.
Fractional positions:
Rb: 0.0000 0.0000 0.0000  8 Pb 3.63, 4 Ru 3.98
Ti: 0.5000 0.5000 0.5000  2 Ru 2.29
Ru: 0.5000 0.5000 0.0000  2 Ti 2.29
Pb: 0.0000 0.5000 0.5000  2 Ti 2.82
Pb: 0.5000 0.0000 0.5000  2 Ti 2.82